Computed, not measured: a relaxed structure of Na3Bi2Te4 at the GGA-PBE level of DFT.

## Properties
Space-group type = C2/m
Raw formation energy = -0.46 eV/atom
Final energy = -3.160 eV per atom
Fermi-level density of states = 0.24 states/eV per cell

Cell: 8.7422 8.7422 8.2367 Å, 111.15 111.15 34.91°
Element x y z (fractional)
Na 0.0000 0.0000 0.0000
Na 0.1477 0.1477 0.4955
Na 0.8523 0.8523 0.5045
Bi 0.3486 0.3486 0.9336
Bi 0.6514 0.6514 0.0664
Te 0.2426 0.2426 0.2228
Te 0.4585 0.4585 0.7198
Te 0.5415 0.5415 0.2802
Te 0.7574 0.7574 0.7772